[1]
{
  "formula": "ThTeO",
  "functional": "SCAN",
  "state": "single point on PBEsol structure",
  "lattice_angstrom": [[4.103, 0.000, 0.000], [0.000, 4.103, 0.000], [0.000, 0.000, 7.499]],
  "species": ["Th", "Th", "Te", "Te", "O", "O"],
  "fractional_positions": [[0.250, 0.250, 0.170], [0.750, 0.750, 0.830], [0.250, 0.250, 0.632], [0.750, 0.750, 0.368], [0.250, 0.750, 0.000], [0.750, 0.250, 0.000]],
  "e_tot_ev_per_atom": -49.2617,
  "formation_energy_uncorrected_ev_per_atom": -2.79
}



[2]
{
  "formula": "ScMo4",
  "functional": "SCAN",
  "state": "single point on PBEsol structure",
  "lattice_angstrom": [[-3.560, 3.560, 1.575], [3.560, -3.560, 1.575], [3.560, 3.560, -1.575]],
  "species": ["Sc", "Mo", "Mo", "Mo", "Mo"],
  "fractional_positions": [[0.000, 0.000, 0.000], [0.189, 0.394, 0.584], [0.394, 0.811, 0.205], [0.606, 0.189, 0.795], [0.811, 0.606, 0.416]],
  "e_tot_ev_per_atom": -30.7102,
  "delta_e_f_mev_per_atom": 45
}



[3]
{
  "formula": "LiSbCl",
  "functional": "SCAN",
  "state": "single point on PBEsol structure",
  "lattice_angstrom": [[0.000, 3.259, 3.259], [3.259, 0.000, 3.259], [3.259, 3.259, 0.000]],
  "species": ["Li", "Sb", "Cl"],
  "fractional_positions": [[0.000, 0.000, 0.000], [0.250, 0.250, 0.250], [0.750, 0.750, 0.750]],
  "e_tot_ev_per_atom": -15.8875,
  "formation_energy_uncorrected_ev_per_atom": -0.01
}



[4]
{
  "formula": "OsRuPt2",
  "functional": "SCAN",
  "state": "single point on PBEsol structure",
  "lattice_angstrom": [[1.358, 0.784, 8.971], [-1.358, 0.784, 8.971], [0.000, -1.568, 8.971]],
  "species": ["Os", "Ru", "Pt", "Pt"],
  "fractional_positions": [[0.000, 0.000, 0.000], [0.257, 0.257, 0.257], [0.506, 0.506, 0.506], [0.751, 0.751, 0.751]],
  "e_tot_ev_per_atom": -61.7566,
  "delta_e_f_mev_per_atom": 16
}



[5]
{
  "formula": "Cr2Sn2S",
  "functional": "SCAN",
  "state": "single point on PBEsol structure",
  "lattice_angstrom": [[-1.992, 1.992, 5.933], [1.992, -1.992, 5.933], [1.992, 1.992, -5.933]],
  "species": ["Cr", "Cr", "Sn", "Sn", "S"],
  "fractional_positions": [[0.077, 0.077, 0.000], [0.923, 0.923, 0.000], [0.250, 0.750, 0.500], [0.750, 0.250, 0.500], [0.500, 0.500, 0.000]],
  "e_tot_ev_per_atom": -22.8179,
  "formation_energy_uncorrected_ev_per_atom": 0.83
}



[6]
{
  "formula": "K4IrPb",
  "functional": "SCAN",
  "state": "single point on PBEsol structure",
  "lattice_angstrom": [[0.000, 4.472, 4.472], [4.472, 0.000, 4.472], [4.472, 4.472, 0.000]],
  "species": ["K", "K", "K", "K", "Ir", "Pb"],
  "fractional_positions": [[0.124, 0.124, 0.124], [0.124, 0.124, 0.629], [0.124, 0.629, 0.124], [0.629, 0.124, 0.124], [0.750, 0.750, 0.750], [0.500, 0.500, 0.500]],
  "e_tot_ev_per_atom": -29.2060,
  "delta_e_f_mev_per_atom": 827
}



[7]
{
  "formula": "HgI2N",
  "functional": "SCAN",
  "state": "single point on PBEsol structure",
  "lattice_angstrom": [[0.000, 5.129, 5.129], [5.129, 0.000, 5.129], [5.129, 5.129, 0.000]],
  "species": ["Hg", "Hg", "I", "I", "I", "I", "N", "N"],
  "fractional_positions": [[0.125, 0.125, 0.125], [0.875, 0.875, 0.875], [0.000, 0.500, 0.500], [0.500, 0.000, 0.500], [0.500, 0.500, 0.000], [0.500, 0.500, 0.500], [0.375, 0.375, 0.375], [0.625, 0.625, 0.625]],
  "e_tot_ev_per_atom": -36.9900,
  "formation_energy_uncorrected_ev_per_atom": 0.75
}



[8]
{
  "formula": "KTa4Cu",
  "functional": "SCAN",
  "state": "single point on PBEsol structure",
  "lattice_angstrom": [[0.000, 3.921, 3.921], [3.921, 0.000, 3.921], [3.921, 3.921, 0.000]],
  "species": ["K", "Ta", "Ta", "Ta", "Ta", "Cu"],
  "fractional_positions": [[0.000, 0.000, 0.000], [0.374, 0.374, 0.374], [0.374, 0.374, 0.877], [0.374, 0.877, 0.374], [0.877, 0.374, 0.374], [0.750, 0.750, 0.750]],
  "e_tot_ev_per_atom": -47.1234,
  "delta_e_f_mev_per_atom": 1187
}



[9]
{
  "formula": "K2LaTe",
  "functional": "SCAN",
  "state": "single point on PBEsol structure",
  "lattice_angstrom": [[-2.566, 2.566, 5.258], [2.566, -2.566, 5.258], [2.566, 2.566, -5.258]],
  "species": ["K", "K", "La", "Te"],
  "fractional_positions": [[0.000, 0.000, 0.000], [0.750, 0.250, 0.500], [0.500, 0.500, 0.000], [0.250, 0.750, 0.500]],
  "e_tot_ev_per_atom": -24.5087,
  "formation_energy_uncorrected_ev_per_atom": -0.26
}



[10]
{
  "formula": "Ir3RuI",
  "functional": "SCAN",
  "state": "single point on PBEsol structure",
  "lattice_angstrom": [[4.747, 0.000, 0.000], [0.000, 4.747, 0.000], [0.000, 0.000, 4.747]],
  "species": ["Ir", "Ir", "Ir", "Ru", "I"],
  "fractional_positions": [[0.000, 0.000, 0.500], [0.000, 0.500, 0.000], [0.500, 0.000, 0.000], [0.500, 0.500, 0.500], [0.000, 0.000, 0.000]],
  "e_tot_ev_per_atom": -54.3971,
  "formation_energy_uncorrected_ev_per_atom": 2.58
}



[11]
{
  "formula": "Gd2GeMoO8",
  "functional": "SCAN",
  "state": "single point on PBEsol structure",
  "lattice_angstrom": [[-2.561, 2.561, 5.547], [2.561, -2.561, 5.547], [2.561, 2.561, -5.547]],
  "species": ["Gd", "Gd", "Ge", "Mo", "O", "O", "O", "O", "O", "O", "O", "O"],
  "fractional_positions": [[0.000, 0.000, 0.000], [0.750, 0.250, 0.500], [0.250, 0.750, 0.500], [0.500, 0.500, 0.000], [0.096, 0.671, 0.092], [0.163, 0.263, 0.590], [0.329, 0.421, 0.425], [0.427, 0.837, 0.100], [0.579, 0.004, 0.908], [0.673, 0.573, 0.410], [0.737, 0.327, 0.900], [0.996, 0.904, 0.575]],
  "e_tot_ev_per_atom": -21.3112,
  "formation_energy_uncorrected_ev_per_atom": -2.86
}



[12]
{
  "formula": "RbTlGa3",
  "functional": "SCAN",
  "state": "single point on PBEsol structure",
  "lattice_angstrom": [[5.508, 0.000, 0.000], [0.000, 5.508, 0.000], [0.000, 0.000, 5.508]],
  "species": ["Rb", "Tl", "Ga", "Ga", "Ga"],
  "fractional_positions": [[0.000, 0.000, 0.000], [0.500, 0.500, 0.500], [0.000, 0.500, 0.500], [0.500, 0.000, 0.500], [0.500, 0.500, 0.000]],
  "e_tot_ev_per_atom": -28.0237,
  "delta_e_f_mev_per_atom": 404
}



Repeat the seventh record exactly.
{
  "formula": "HgI2N",
  "functional": "SCAN",
  "state": "single point on PBEsol structure",
  "lattice_angstrom": [[0.000, 5.129, 5.129], [5.129, 0.000, 5.129], [5.129, 5.129, 0.000]],
  "species": ["Hg", "Hg", "I", "I", "I", "I", "N", "N"],
  "fractional_positions": [[0.125, 0.125, 0.125], [0.875, 0.875, 0.875], [0.000, 0.500, 0.500], [0.500, 0.000, 0.500], [0.500, 0.500, 0.000], [0.500, 0.500, 0.500], [0.375, 0.375, 0.375], [0.625, 0.625, 0.625]],
  "e_tot_ev_per_atom": -36.9900,
  "formation_energy_uncorrected_ev_per_atom": 0.75
}



Which formula does entry 11 have? Gd2GeMoO8